VASP calculation (PBE-GGA) on an optimized crystal structure of Tl2CdTe.

Computed properties:
- energy relative to the lowest polymorph listed for this composition (meV per atom) = 0.0
- electronic total energy (eV/atom) = -2.3217
- formation energy (no corrections) (eV/atom) = -0.12
- magnetic moment (μB per formula unit) = 0.00
- mass density (g cm⁻³) = 7.962

Lattice parameters (Å, degrees): 8.8514 5.0467 6.7114 90.00 115.50 90.00
Space group C2/m (No. 12)
Inequivalent atoms, fractional coordinates:
1 Tl 0.2488 0.0000 0.2454 x4
2 Cd 0.0000 0.5000 0.0000 x2
3 Te 0.0000 0.0000 0.5000 x2